1.
The following is a PBE-GGA calculation of LiAc3Ge2Au6 after structural relaxation, from the Alexandria database.

Cell and atoms, written as POSCAR:
```
LiAc3Ge2Au6
1.0
6.601 0.000 0.000
-3.300 5.716 0.000
0.000 0.000 8.021
Li Ac Ge Au
1 3 2 6
direct
0.000 0.000 0.500
0.333 0.667 0.674
0.667 0.333 0.326
0.000 0.000 0.000
0.667 0.333 0.923
0.333 0.667 0.077
0.645 0.823 0.319
0.177 0.355 0.319
0.177 0.823 0.319
0.823 0.645 0.681
0.355 0.177 0.681
0.823 0.177 0.681
```

Results
* space-group type: P-3m1 (164)
* raw total energy: -4.12 eV/atom
* energy of formation from the pure elements: -523 meV per atom

***

2.
The following is a PBE-GGA calculation of TcAsWBr2 after structural relaxation, from the Alexandria database.

Cell and atoms, written as POSCAR:
```
TcAsWBr2
1.0
-3.771 -3.142 -0.556
2.643 -3.558 2.179
-1.734 1.326 4.269
As Br Tc W
1 2 1 1
direct
0.000 0.000 0.500
0.000 0.500 0.000
0.500 0.000 0.000
0.000 0.000 0.000
0.500 0.500 0.500
```

Results
* space-group type: P4/mmm (123)
* raw total energy: -4.53 eV/atom
* E_form (uncorrected): 1.730 eV per atom

***

3.
The following is a PBE-GGA calculation of Ta2InW after structural relaxation, from the Alexandria database.

Cell and atoms, written as POSCAR:
```
Ta2InW
1.0
2.829 0.000 0.000
0.000 2.829 0.000
0.000 0.000 9.267
In Ta W
1 2 1
direct
0.500 0.500 0.745
0.000 0.000 0.003
0.500 0.500 0.253
0.000 0.000 0.499
```

Results
* space-group type: P4mm (99)
* raw total energy: -9.52 eV/atom
* energy of formation from the pure elements: 330 meV per atom